# NaCaSiO4 SCAN PBEsol geometry
data_NaCaSiO4
_space_group_name_H-M_alt 'P 1 21/m 1'
_space_group_IT_number 11
_cell_length_a 5.3346
_cell_length_b 7.0984
_cell_length_c 5.3407
_cell_angle_alpha 90.00
_cell_angle_beta 116.58
_cell_angle_gamma 90.00
loop_
_space_group_symop_operation_xyz
'x,y,z'
'-x,-y,-z'
'-x,y+1/2,-z'
'x,-y+1/2,z'
loop_
_atom_site_label
_atom_site_fract_x
_atom_site_fract_y
_atom_site_fract_z
Na1 0.1863 0.2500 0.3122
Ca1 0.5000 0.0000 0.0000
Si1 0.1197 0.7500 0.3332
O1 0.2011 0.5596 0.2046
O2 0.2144 0.2500 0.7570
O3 0.3116 0.7500 0.6719
# * DFT total energy: -9.63 eV per atom
# * calculated volume: 180.9 Å³ per cell
# * formation energy from raw total energies: -2.66 eV per atom
# * calculated density: 2.8 Mg/m³


# Na5Ca4Si6O18 SCAN PBEsol geometry
data_Na5Ca4Si6O18
_space_group_name_H-M_alt 'P 31'
_space_group_IT_number 144
_cell_length_a 10.5162
_cell_length_b 10.5162
_cell_length_c 13.2465
_cell_angle_alpha 90.00
_cell_angle_beta 90.00
_cell_angle_gamma 120.00
loop_
_space_group_symop_operation_xyz
'x,y,z'
'-y,x-y,z+1/3'
'-x+y,-x,z+2/3'
loop_
_atom_site_label
_atom_site_fract_x
_atom_site_fract_y
_atom_site_fract_z
Na1 0.0005 0.6713 0.0000
Na2 0.0294 0.1745 0.2425
Na3 0.1609 0.0126 0.4104
Na4 0.1685 0.4761 0.4178
Na5 0.5090 0.1307 0.7459
Ca1 0.1855 0.5019 0.9288
Ca2 0.3374 0.3170 0.8315
Ca3 0.3582 0.3361 0.0891
Ca4 0.4846 0.1589 0.2525
Si1 0.0327 0.1757 0.5168
Si2 0.1655 0.5138 0.1909
Si3 0.1725 0.0127 0.6478
Si4 0.1832 0.4757 0.6573
Si5 0.4739 0.1871 0.5246
Si6 0.5099 0.1345 0.9787
O1 0.0133 0.3910 0.2497
O2 0.0784 0.0613 0.5718
O3 0.0878 0.5573 0.6392
O4 0.0925 0.8341 0.6404
O5 0.0984 0.3234 0.5910
O6 0.1041 0.2173 0.4070
O7 0.1290 0.5586 0.0825
O8 0.1740 0.7178 0.8636
O9 0.1975 0.0954 0.7546
O10 0.2179 0.4394 0.7691
O11 0.2467 0.6596 0.2669
O12 0.2476 0.1427 0.1990
O13 0.3331 0.0574 0.5925
O14 0.4188 0.1853 0.4107
O15 0.4709 0.2650 0.9602
O16 0.5099 0.3428 0.5799
O17 0.5139 0.0794 0.0931
O18 0.5445 0.3982 0.2121
# * DFT total energy: -9.92 eV per atom
# * calculated volume: 1268.7 Å³ per cell
# * formation energy from raw total energies: -2.89 eV per atom
# * calculated density: 2.9 Mg/m³
# * N(E_F): 4.131 states/eV/cell


# Na2CaSiO4 SCAN PBEsol geometry
data_Na2CaSiO4
_space_group_name_H-M_alt 'P 21 3'
_space_group_IT_number 198
_space_group_name_Hall 'P 2ac 2ab 3'
_cell_length_a 7.4277
_cell_length_b 7.4277
_cell_length_c 7.4277
_cell_angle_alpha 90.00
_cell_angle_beta 90.00
_cell_angle_gamma 90.00
loop_
_atom_site_label
_atom_site_fract_x
_atom_site_fract_y
_atom_site_fract_z
Na1 0.0096 0.4904 0.5096
Na2 0.2196 0.2196 0.2196
Ca1 0.0383 0.5383 0.9617
Si1 0.2404 0.2596 0.7404
O1 0.0254 0.2418 0.7928
O2 0.1340 0.8660 0.3660
# * DFT total energy: -9.32 eV per atom
# * calculated volume: 409.8 Å³ per cell
# * formation energy from raw total energies: -2.69 eV per atom
# * calculated density: 2.9 Mg/m³
# * N(E_F): 0.000 states/eV/cell


# NaCa8SmTi10Si10O50 SCAN PBEsol geometry
data_NaCa8SmTi10Si10O50
_space_group_name_H-M_alt 'P 1'
_space_group_IT_number 1
_cell_length_a 5.4473
_cell_length_b 7.4427
_cell_length_c 24.0750
_cell_angle_alpha 81.94
_cell_angle_beta 87.57
_cell_angle_gamma 72.41
loop_
_space_group_symop_operation_xyz
'x,y,z'
loop_
_atom_site_label
_atom_site_fract_x
_atom_site_fract_y
_atom_site_fract_z
Na1 0.0000 0.0000 0.0000
Ca1 0.1793 0.1628 0.1662
Ca2 0.1987 0.8019 0.5983
Ca3 0.3780 0.9648 0.7665
Ca4 0.3996 0.6000 0.1989
Ca5 0.5770 0.7645 0.3670
Ca6 0.6019 0.4006 0.7967
Ca7 0.7999 0.2007 0.3982
Ca8 0.9779 0.3647 0.5664
Sm1 0.7761 0.5659 0.9685
Ti1 0.0946 0.5847 0.0829
Ti2 0.1880 0.4831 0.3826
Ti3 0.2873 0.3837 0.6823
Ti4 0.3924 0.2690 0.9849
Ti5 0.4879 0.1823 0.2829
Ti6 0.5878 0.0839 0.5823
Ti7 0.6928 0.9871 0.8822
Ti8 0.7877 0.8832 0.1826
Ti9 0.8885 0.7833 0.4826
Ti10 0.9871 0.6853 0.7819
Si1 0.0849 0.9045 0.2964
Si2 0.0920 0.2657 0.8692
Si3 0.2882 0.7011 0.8955
Si4 0.2918 0.0607 0.4687
Si5 0.4849 0.5056 0.4962
Si6 0.4947 0.8545 0.0689
Si7 0.6850 0.3072 0.0976
Si8 0.6913 0.6612 0.6683
Si9 0.8851 0.1056 0.6959
Si10 0.8923 0.4593 0.2689
O1 0.0366 0.8874 0.7239
O2 0.0397 0.7080 0.1460
O3 0.0626 0.2300 0.7150
O4 0.0775 0.9077 0.2280
O5 0.0932 0.2763 0.9371
O6 0.1134 0.9363 0.4502
O7 0.1412 0.4569 0.0195
O8 0.1418 0.2786 0.4404
O9 0.1833 0.3770 0.2432
O10 0.1941 0.5877 0.5222
O11 0.2352 0.6865 0.3248
O12 0.2360 0.5046 0.7463
O13 0.2633 0.0287 0.3152
O14 0.2823 0.7046 0.8271
O15 0.2992 0.0578 0.5371
O16 0.3226 0.7275 0.0498
O17 0.3393 0.2609 0.6184
O18 0.3549 0.0755 0.0423
O19 0.3833 0.1815 0.8437
O20 0.3945 0.3875 0.1239
O21 0.4364 0.3035 0.3469
O22 0.4441 0.4868 0.9260
O23 0.4685 0.8259 0.9135
O24 0.4774 0.5083 0.4278
O25 0.5037 0.8522 0.1374
O26 0.5123 0.5368 0.6501
O27 0.5390 0.0584 0.2191
O28 0.5423 0.8788 0.6399
O29 0.5829 0.9787 0.4429
O30 0.5940 0.1872 0.7219
O31 0.6342 0.2878 0.5247
O32 0.6345 0.1017 0.9467
O33 0.6641 0.6296 0.5147
O34 0.6693 0.3201 0.0289
O35 0.6990 0.6591 0.7367
O36 0.7126 0.3350 0.2509
O37 0.7423 0.8664 0.8172
O38 0.7444 0.6765 0.2400
O39 0.7821 0.7649 0.0419
O40 0.7940 0.9861 0.3224
O41 0.8299 0.0885 0.1258
O42 0.8369 0.9052 0.5464
O43 0.8686 0.4273 0.1162
O44 0.8771 0.1093 0.6275
O45 0.8992 0.4574 0.3374
O46 0.9174 0.1368 0.8516
O47 0.9377 0.4811 0.8395
O48 0.9402 0.6612 0.4185
O49 0.9823 0.5785 0.6425
O50 0.9930 0.7755 0.9197
# * DFT total energy: -12.04 eV per atom
# * calculated volume: 921.2 Å³ per cell
# * formation energy from raw total energies: -3.32 eV per atom
# * calculated density: 3.7 Mg/m³
# * N(E_F): 0.000 states/eV/cell


# NaCa2ZrSi2O9 SCAN PBEsol geometry
data_NaCa2ZrSi2O9
_space_group_name_H-M_alt 'P 1 21 1'
_space_group_IT_number 4
_cell_length_a 7.4389
_cell_length_b 10.3332
_cell_length_c 10.8510
_cell_angle_alpha 90.00
_cell_angle_beta 109.94
_cell_angle_gamma 90.00
loop_
_space_group_symop_operation_xyz
'x,y,z'
'-x,y+1/2,-z'
loop_
_atom_site_label
_atom_site_fract_x
_atom_site_fract_y
_atom_site_fract_z
Na1 0.0594 0.0000 0.3680
Na2 0.2064 0.1591 0.1231
Ca1 0.0603 0.3771 0.3553
Ca2 0.1948 0.7804 0.1552
Ca3 0.3265 0.6588 0.8711
Ca4 0.4509 0.8931 0.6521
Zr1 0.3039 0.2890 0.8450
Zr2 0.4374 0.5230 0.6260
Si1 0.0482 0.7020 0.4349
Si2 0.1196 0.4622 0.0589
Si3 0.3016 0.9616 0.9279
Si4 0.3786 0.2057 0.5732
O1 0.0034 0.6812 0.7675
O2 0.0273 0.2233 0.7256
O3 0.1163 0.9483 0.9796
O4 0.1440 0.1825 0.5199
O5 0.1497 0.8299 0.5130
O6 0.1527 0.3464 0.9650
O7 0.1575 0.6077 0.0125
O8 0.1606 0.5656 0.4794
O9 0.2289 0.4359 0.2124
O10 0.2483 0.9196 0.7769
O11 0.2869 0.4562 0.7484
O12 0.2948 0.9611 0.2722
O13 0.3801 0.1090 0.9622
O14 0.3991 0.3425 0.5049
O15 0.4388 0.8469 0.0172
O16 0.4643 0.0799 0.5264
O17 0.4635 0.2150 0.7330
O18 0.4846 0.6851 0.7254
# * DFT total energy: -11.77 eV per atom
# * calculated volume: 784.1 Å³ per cell
# * formation energy from raw total energies: -3.08 eV per atom
# * calculated density: 3.3 Mg/m³
# * N(E_F): 3.953 states/eV/cell


# NaCa2Ta3O10 SCAN PBEsol geometry
data_NaCa2Ta3O10
_space_group_name_H-M_alt 'I -4 m 2'
_space_group_IT_number 119
_space_group_name_Hall 'I -4 -2'
_cell_length_a 3.9092
_cell_length_b 3.9092
_cell_length_c 29.1475
_cell_angle_alpha 90.00
_cell_angle_beta 90.00
_cell_angle_gamma 90.00
loop_
_atom_site_label
_atom_site_fract_x
_atom_site_fract_y
_atom_site_fract_z
Na1 0.0000 0.0000 0.0000
Ca1 0.0000 0.5000 0.1723
Ta1 0.0000 0.5000 0.6055
Ta2 0.0000 0.5000 0.7500
O1 0.0000 0.0000 0.1195
O2 0.0000 0.0000 0.2498
O3 0.0000 0.0000 0.3798
O4 0.0000 0.5000 0.5441
O5 0.0000 0.5000 0.6830
# * DFT total energy: -20.95 eV per atom
# * calculated volume: 445.4 Å³ per cell
# * formation energy from raw total energies: -3.10 eV per atom
# * calculated density: 6.0 Mg/m³
# * N(E_F): 0.000 states/eV/cell